## LaCoOF2 (PBE with a Hubbard U)

Data for LaCoOF2 after structural relaxation.

Unit cell a=3.982 b=3.982 c=4.179 alpha=90.00 beta=90.00 gamma=90.00
Last column: magnetic moment on the atom in μB.
Sites, in units of the cell vectors:
F1 0.500 0.000 0.000  0.04
F2 0.000 0.500 0.000  0.04
La1 0.500 0.500 0.500  -0.18
O1 0.000 0.000 0.500  0.05
Co1 0.000 0.000 0.000  2.21

Magnetization, μB per formula unit: 2.077
E, eV/atom: -6.03